4
Lattice="4.1773 0.0000 0.0000 0.0000 3.9672 0.0000 0.0000 0.0000 3.9672" Properties=species:S:1:pos:R:3 comment="Li2InW, optimized geometry, DFT PBE" magmom_total_mub_per_fu=0.000 density_g_cm3=7.89 delta_e_f_kj_per_mol_atoms=47.6 pbc="T T T"
In 2.0887 0.0000 1.9836
Li 0.0000 0.0000 0.0000
Li 0.0000 1.9836 1.9836
W 2.0887 1.9836 0.0000

=====

10
Lattice="4.3267 -0.3700 2.1896 1.2231 3.0951 2.5350 -0.4301 0.2100 6.7857" Properties=species:S:1:pos:R:3 comment="H3PtRh, optimized geometry, DFT PBE" magmom_total_mub_per_fu=0.000 density_g_cm3=10.47 final_energy_ev_per_cell=-45.777 pbc="T T T"
H 2.4261 2.4742 4.5194
H 3.8018 1.1943 5.1856
H 2.9569 0.0240 3.8762
H 2.9880 1.5316 7.2159
H 1.6157 2.8928 7.2107
H 1.5198 0.8657 6.3679
Pt 4.2147 0.5992 7.9926
Pt 0.9403 2.2260 3.6213
Rh 1.5124 1.3255 8.0345
Rh 3.6228 1.5417 3.5270

=====

20
Lattice="-5.0379 4.1161 0.9046 0.1774 -3.8552 -5.3147 -6.2444 -9.0377 6.3473" Properties=species:S:1:pos:R:3 comment="CaMgAu3, optimized geometry, DFT PBE" magmom_total_mub_per_fu=0.000 density_g_cm3=9.18 delta_e_f_kj_per_mol_atoms=-41.8 pbc="T T T"
Ca -3.1221 -3.4576 -1.6548
Ca -7.9827 -5.3193 3.5920
Ca -3.1222 -4.5189 3.1737
Ca 0.0000 0.0000 0.0000
Mg -4.1675 0.2027 -0.2861
Mg -5.5512 -6.9733 0.8144
Mg -6.9373 -8.9795 2.2234
Mg -5.5536 -1.8035 1.1228
Au -5.3327 -7.2767 3.4120
Au -2.9337 -1.6525 1.1007
Au -5.8757 0.7513 1.6290
Au -5.2290 -9.5281 0.3082
Au -8.1711 -7.1244 0.8365
Au -5.7721 -1.5001 -1.4747
Au -5.5524 -4.3884 0.9686
Au -2.5189 2.0581 0.4523
Au -2.4302 0.1304 -2.2050
Au -5.6411 -2.4608 3.6260
Au -3.0335 -6.4465 0.5163
Au 0.0887 -1.9276 -2.6574